No. 1
{
  "formula": "LaPr3Y7",
  "functional": "GGA-PBE",
  "state": "optimized geometry",
  "lattice_angstrom": [[7.043, 0.000, 0.000], [0.000, 5.617, 0.000], [-3.446, 0.000, 9.600]],
  "species": ["La", "Pr", "Pr", "Pr", "Y", "Y", "Y", "Y", "Y", "Y", "Y"],
  "frac_coords": [[0.000, 0.000, 0.000], [0.283, 0.500, 0.499], [0.500, 0.000, 0.000], [0.717, 0.500, 0.501], [0.000, 0.000, 0.500], [0.143, 0.500, 0.787], [0.321, 0.500, 0.137], [0.418, 0.000, 0.330], [0.582, 0.000, 0.670], [0.679, 0.500, 0.863], [0.857, 0.500, 0.213]],
  "vol_a3_per_cell": 379.8,
  "n_ef_per_ev_cell": 17.35,
  "de_polymorph_mev_per_atom": 0.0,
  "magmom_total_mub_per_atom": 0.000,
  "sg": "P2/m",
  "formation_enthalpy_0k_ev_per_atom": 0.137
}

No. 2
{
  "formula": "Hf2Pt2Au",
  "functional": "GGA-PBE",
  "state": "optimized geometry",
  "lattice_angstrom": [[7.519, 0.000, 0.000], [0.000, 7.519, 0.000], [0.000, 0.000, 3.320]],
  "species": ["Hf", "Hf", "Hf", "Hf", "Pt", "Pt", "Pt", "Pt", "Au", "Au"],
  "frac_coords": [[0.168, 0.332, 0.000], [0.332, 0.832, 0.000], [0.668, 0.168, 0.000], [0.832, 0.668, 0.000], [0.132, 0.632, 0.500], [0.368, 0.132, 0.500], [0.632, 0.868, 0.500], [0.868, 0.368, 0.500], [0.000, 0.000, 0.500], [0.500, 0.500, 0.500]],
  "vol_a3_per_cell": 187.7,
  "n_ef_per_ev_cell": 5.39,
  "de_polymorph_mev_per_atom": 0.0,
  "magmom_total_mub_per_atom": 0.000,
  "sg": "P4/mbm",
  "formation_enthalpy_0k_ev_per_atom": -0.939
}

No. 3
{
  "formula": "In3ClF2",
  "functional": "GGA-PBE",
  "state": "optimized geometry",
  "lattice_angstrom": [[6.848, 0.000, 0.000], [0.000, 4.396, 0.000], [-1.151, 0.000, 9.948]],
  "species": ["In", "In", "In", "In", "In", "In", "Cl", "Cl", "F", "F", "F", "F"],
  "frac_coords": [[0.004, 0.250, 0.160], [0.279, 0.250, 0.441], [0.399, 0.750, 0.135], [0.601, 0.250, 0.865], [0.721, 0.750, 0.559], [0.996, 0.750, 0.840], [0.199, 0.250, 0.719], [0.801, 0.750, 0.281], [0.389, 0.750, 0.510], [0.478, 0.750, 0.918], [0.522, 0.250, 0.082], [0.611, 0.250, 0.490]],
  "vol_a3_per_cell": 299.4,
  "n_ef_per_ev_cell": 0.00,
  "magmom_total_mub_per_atom": 0.000,
  "sg": "P2_1/m",
  "e_form_raw_ev_per_fu": -8.3
}

No. 4
{
  "formula": "DyScIrOs",
  "functional": "GGA-PBE",
  "state": "optimized geometry",
  "lattice_angstrom": [[0.000, 3.319, 3.319], [3.319, 0.000, 3.319], [3.319, 3.319, 0.000]],
  "species": ["Dy", "Sc", "Ir", "Os"],
  "frac_coords": [[0.000, 0.000, 0.000], [0.500, 0.500, 0.500], [0.250, 0.250, 0.250], [0.750, 0.750, 0.750]],
  "vol_a3_per_cell": 73.1,
  "n_ef_per_ev_cell": 2.16,
  "magmom_total_mub_per_atom": 0.000,
  "sg": "F-43m",
  "formation_enthalpy_0k_ev_per_atom": -0.537
}